Entry 1:
Computed, not measured: a PBEsol-optimized structure of LiMgPt2 at the meta-GGA SCAN level of DFT.

Summary:
- space-group type = I4/mmm (139)
- calculated formation energy (eV/f.u.) = -3.32

The structure in POSCAR format:
```
LiMgPt2
1.0
-1.981 3.420 0.193
-2.447 -3.763 1.006
-0.678 -0.610 3.850
Mg Li Pt
1 1 2
direct
0.000 0.000 0.000
0.500 0.000 0.500
0.750 0.500 0.750
0.250 0.500 0.250
```

Entry 2:
Computed, not measured: a PBEsol-optimized structure of LiMgPt at the meta-GGA SCAN level of DFT.

Summary:
- space-group type = F-43m (216)
- ΔE to the lowest computed polymorph (meV/atom) = 388
- calculated formation energy (eV/f.u.) = -1.09

The structure in POSCAR format:
```
LiMgPt
1.0
4.078 0.000 0.000
2.039 3.531 0.000
2.039 1.177 3.329
Li Pt Mg
1 1 1
direct
0.250 0.250 0.250
0.500 0.500 0.500
0.000 0.000 0.000
```

Entry 3:
Computed, not measured: a PBEsol-optimized structure of LiMgPt2 at the meta-GGA SCAN level of DFT.

Summary:
- space-group type = Pm (6)
- calculated formation energy (eV/f.u.) = -2.65

The structure in POSCAR format:
```
LiMgPt2
1.0
2.710 0.000 -0.048
0.000 4.206 0.000
-1.254 0.000 5.079
Pt Li Mg
2 1 1
direct
0.052 0.000 0.981
0.706 0.500 0.286
0.300 0.000 0.473
0.442 0.500 0.761
```

Entry 4:
Computed, not measured: a PBEsol-optimized structure of LiMgPt at the meta-GGA SCAN level of DFT.

Summary:
- space-group type = Imm2 (44)
- ΔE to the lowest computed polymorph (meV/atom) = 2
- calculated formation energy (eV/f.u.) = -2.25

The structure in POSCAR format:
```
LiMgPt
1.0
-1.823 -0.445 -2.174
-1.084 -3.321 1.590
-1.461 3.815 2.340
Pt Li Mg
1 1 1
direct
0.335 0.335 0.669
0.992 0.992 0.983
0.674 0.674 0.348
```

Please write out number 1 again, unchanged.
Computed, not measured: a PBEsol-optimized structure of LiMgPt2 at the meta-GGA SCAN level of DFT.

Summary:
- space-group type = I4/mmm (139)
- calculated formation energy (eV/f.u.) = -3.32

The structure in POSCAR format:
```
LiMgPt2
1.0
-1.981 3.420 0.193
-2.447 -3.763 1.006
-0.678 -0.610 3.850
Mg Li Pt
1 1 2
direct
0.000 0.000 0.000
0.500 0.000 0.500
0.750 0.500 0.750
0.250 0.500 0.250
```

calculated formation energy of number 3 (LiMgPt2)? -2.65 eV/f.u.

Copy entry 3 word for word.
Computed, not measured: a PBEsol-optimized structure of LiMgPt2 at the meta-GGA SCAN level of DFT.

Summary:
- space-group type = Pm (6)
- calculated formation energy (eV/f.u.) = -2.65

The structure in POSCAR format:
```
LiMgPt2
1.0
2.710 0.000 -0.048
0.000 4.206 0.000
-1.254 0.000 5.079
Pt Li Mg
2 1 1
direct
0.052 0.000 0.981
0.706 0.500 0.286
0.300 0.000 0.473
0.442 0.500 0.761
```

What is the calculated formation energy in the second record? -1.09 eV/f.u.